Here is crystalline BeZnTc2Rh at its relaxed geometry from the Alexandria database. Energies are from PBE.

Calculated values
Its crystal system is tetragonal. The calculation puts the final energy at -4.854 eV/atom. Its energy of formation from the pure elements is 1.762 eV/atom.

```
BeZnTc2Rh
1.0
4.5363 0.0000 0.0000
0.0000 4.5363 0.0000
0.0000 0.0000 4.4677
Be Zn Tc Rh
1 1 2 1
Cartesian
0.0000 0.0000 0.0000
2.2681 2.2681 2.2338
0.0000 2.2681 2.2338
2.2681 0.0000 2.2338
2.2681 2.2681 0.0000
```